BaCo2BiRh | PBE | optimized geometry

Geometry as POSCAR:
```
BaCo2BiRh
1.0
4.757 0.000 0.000
0.000 4.757 0.000
0.000 0.000 6.216
Ba Co Bi Rh
1 2 1 1
direct
0.000 0.000 0.000
0.000 0.500 0.000
0.500 0.000 0.000
0.000 0.000 0.500
0.500 0.500 0.500
```

Calculated values
**Size of the total moment**: 3.1 μB per formula unit
**ΔH_f (0 K)**: 209.6 kJ/mol of atoms
**Space group**: No. 123

=====

BaCoBi2Rh | PBE | optimized geometry

Geometry as POSCAR:
```
BaCoBi2Rh
1.0
5.183 0.000 0.000
0.000 5.183 0.000
0.000 0.000 5.010
Ba Co Bi Rh
1 1 2 1
direct
0.000 0.000 0.000
0.500 0.500 0.500
0.000 0.500 0.500
0.500 0.000 0.500
0.500 0.500 0.000
```

Calculated values
**Size of the total moment**: 2.3 μB per formula unit
**ΔH_f (0 K)**: 13.6 kJ/mol of atoms
**Space group**: No. 123

=====

Ba2SrCoBi | PBE | optimized geometry

Geometry as POSCAR:
```
Ba2SrCoBi
1.0
5.678 0.000 0.000
0.000 5.678 0.000
0.000 0.000 5.705
Ba Sr Co Bi
2 1 1 1
direct
0.000 0.500 0.000
0.500 0.000 0.000
0.000 0.000 0.500
0.000 0.000 0.000
0.500 0.500 0.500
```

Calculated values
**Size of the total moment**: 0.0 μB per formula unit
**ΔH_f (0 K)**: -15.5 kJ/mol of atoms
**Space group**: No. 123

=====

BaCoTcBi2 | PBE | optimized geometry

Geometry as POSCAR:
```
BaCoTcBi2
1.0
5.362 0.000 0.000
0.000 5.362 0.000
0.000 0.000 4.915
Ba Co Tc Bi
1 1 1 2
direct
0.000 0.000 0.000
0.500 0.500 0.500
0.500 0.500 0.000
0.000 0.500 0.500
0.500 0.000 0.500
```

Calculated values
**Size of the total moment**: 5.2 μB per formula unit
**ΔH_f (0 K)**: 47.5 kJ/mol of atoms
**Space group**: No. 123